The following is a PBE calculation of crystalline Mg3Te4O11 at its relaxed geometry, from the Alexandria database.

Lattice parameters (Å, degrees): 8.352 8.601 9.045 63.54 68.72 70.99
Element x y z (fractional)
Mg 0.038 0.295 0.338
Mg 0.421 0.536 0.354
Mg 0.458 0.152 0.089
Mg 0.542 0.848 0.911
Mg 0.579 0.464 0.646
Mg 0.962 0.705 0.662
Te 0.169 0.875 0.231
Te 0.194 0.582 0.946
Te 0.251 0.217 0.754
Te 0.304 0.937 0.553
Te 0.696 0.063 0.447
Te 0.749 0.783 0.246
Te 0.806 0.418 0.054
Te 0.831 0.125 0.769
O 0.080 0.874 0.673
O 0.104 0.491 0.834
O 0.161 0.673 0.442
O 0.209 0.185 0.492
O 0.259 0.363 0.120
O 0.283 0.992 0.290
O 0.339 0.106 0.952
O 0.361 0.976 0.742
O 0.367 0.731 0.131
O 0.406 0.614 0.772
O 0.428 0.348 0.596
O 0.572 0.652 0.404
O 0.594 0.386 0.228
O 0.633 0.269 0.869
O 0.639 0.024 0.258
O 0.661 0.894 0.048
O 0.717 0.008 0.710
O 0.741 0.637 0.880
O 0.791 0.815 0.508
O 0.839 0.327 0.558
O 0.896 0.509 0.166
O 0.920 0.126 0.327

The calculated total energy is -201.52 eV per cell. The value obtained for the formation energy without anion corrections is -154.7 kJ per mole of atoms. Its space group is P-1. The density of states at the Fermi level is 0.00 states/eV/f.u. The value obtained for the total magnetization is 0.00 μB/f.u.

The following is a PBE calculation of crystalline MgTeO4 at its relaxed geometry, from the Alexandria database.

Lattice parameters (Å, degrees): 4.756 5.674 5.106 90.00 93.49 90.00
Element x y z (fractional)
Mg 0.000 0.154 0.250
Mg 0.000 0.846 0.750
Te 0.500 0.334 0.750
Te 0.500 0.666 0.250
O 0.239 0.122 0.595
O 0.239 0.878 0.095
O 0.281 0.395 0.065
O 0.281 0.605 0.565
O 0.719 0.395 0.435
O 0.719 0.605 0.935
O 0.761 0.122 0.905
O 0.761 0.878 0.405

The calculated total energy is -68.28 eV per cell. The value obtained for the formation energy without anion corrections is -153.9 kJ per mole of atoms. Its space group is P2/c. The value obtained for the total magnetization is 0.00 μB/f.u.

The following is a PBE calculation of crystalline MgTeO4 at its relaxed geometry, from the Alexandria database.

Lattice parameters (Å, degrees): 5.662 4.738 5.641 90.00 112.87 90.00
Element x y z (fractional)
Mg 0.000 0.000 0.000
Mg 0.000 0.500 0.500
Te 0.500 0.000 0.500
Te 0.500 0.500 0.000
O 0.178 0.177 0.365
O 0.178 0.323 0.865
O 0.352 0.719 0.671
O 0.352 0.781 0.171
O 0.648 0.219 0.829
O 0.648 0.281 0.329
O 0.822 0.677 0.135
O 0.822 0.823 0.635

The calculated total energy is -68.30 eV per cell. The value obtained for the formation energy without anion corrections is -154.1 kJ per mole of atoms. Its space group is P2_1/c. The value obtained for the total magnetization is 0.00 μB/f.u.

The following is a PBE calculation of crystalline MgTe3O at its relaxed geometry, from the Alexandria database.

Lattice parameters (Å, degrees): 5.294 5.294 5.294 90.00 90.00 90.00
Element x y z (fractional)
Mg 0.000 0.000 0.000
Te 0.000 0.000 0.500
Te 0.000 0.500 0.000
Te 0.500 0.000 0.000
O 0.500 0.500 0.500

The calculated total energy is -11.88 eV per cell. The value obtained for the formation energy without anion corrections is 79.0 kJ per mole of atoms. Its space group is Pm-3m. The density of states at the Fermi level is 7.78 states/eV/f.u. The excess energy over the best structure of this formula in the dataset comes out at 870 meV/atom. The value obtained for the total magnetization is 0.00 μB/f.u.

The following is a PBE calculation of crystalline Mg3TeO at its relaxed geometry, from the Alexandria database.

Lattice parameters (Å, degrees): 5.495 5.495 5.495 90.00 90.00 90.00
Element x y z (fractional)
Mg 0.000 0.000 0.500
Mg 0.000 0.500 0.000
Mg 0.500 0.000 0.000
Te 0.000 0.000 0.000
O 0.500 0.500 0.500

The calculated total energy is -9.94 eV per cell. The value obtained for the formation energy without anion corrections is 56.8 kJ per mole of atoms. Its space group is Pm-3m. The density of states at the Fermi level is 3.42 states/eV/f.u. The excess energy over the best structure of this formula in the dataset comes out at 1523 meV/atom. The value obtained for the total magnetization is 0.00 μB/f.u.

The following is a PBE calculation of crystalline MgTeO4 at its relaxed geometry, from the Alexandria database.

Lattice parameters (Å, degrees): 5.198 4.681 5.630 90.00 90.00 90.00
Element x y z (fractional)
Mg 0.000 0.000 0.000
Mg 0.000 0.500 0.500
Te 0.500 0.000 0.321
Te 0.500 0.500 0.821
O 0.193 0.207 0.285
O 0.193 0.293 0.785
O 0.337 0.743 0.557
O 0.337 0.757 0.057
O 0.663 0.243 0.057
O 0.663 0.257 0.557
O 0.807 0.707 0.785
O 0.807 0.793 0.285

The calculated total energy is -68.03 eV per cell. The value obtained for the formation energy without anion corrections is -151.9 kJ per mole of atoms. Its space group is Pnc2. The value obtained for the total magnetization is 0.00 μB/f.u.

The following is a PBE calculation of crystalline Mg2TeO5 at its relaxed geometry, from the Alexandria database.

Lattice parameters (Å, degrees): 5.863 5.863 7.278 110.00 110.00 52.87
Element x y z (fractional)
Mg 0.119 0.152 0.235
Mg 0.152 0.119 0.735
Mg 0.848 0.881 0.265
Mg 0.881 0.848 0.765
Te 0.500 0.500 0.000
Te 0.500 0.500 0.500
O 0.103 0.742 0.543
O 0.182 0.462 0.857
O 0.258 0.897 0.957
O 0.317 0.683 0.250
O 0.462 0.182 0.357
O 0.538 0.818 0.643
O 0.683 0.317 0.750
O 0.742 0.103 0.043
O 0.818 0.538 0.143
O 0.897 0.258 0.457

The calculated total energy is -92.96 eV per cell. The value obtained for the formation energy without anion corrections is -185.2 kJ per mole of atoms. Its space group is C2/c. The density of states at the Fermi level is 0.00 states/eV/f.u. The value obtained for the total magnetization is 0.00 μB/f.u.

The following is a PBE calculation of crystalline MgTe2O7 at its relaxed geometry, from the Alexandria database.

Lattice parameters (Å, degrees): 6.750 6.929 8.036 90.00 104.62 90.00
Element x y z (fractional)
Mg 0.070 0.000 0.246
Mg 0.930 0.500 0.754
Te 0.107 0.486 0.370
Te 0.441 0.364 0.778
Te 0.559 0.864 0.222
Te 0.893 0.986 0.630
O 0.044 0.296 0.209
O 0.076 0.027 0.500
O 0.151 0.712 0.268
O 0.233 0.478 0.849
O 0.335 0.024 0.169
O 0.366 0.415 0.524
O 0.450 0.106 0.804
O 0.550 0.606 0.196
O 0.634 0.915 0.476
O 0.665 0.524 0.831
O 0.767 0.978 0.151
O 0.849 0.212 0.732
O 0.924 0.527 0.500
O 0.956 0.796 0.791

The calculated total energy is -106.03 eV per cell. The value obtained for the formation energy without anion corrections is -100.6 kJ per mole of atoms. Its space group is P2_1. The value obtained for the total magnetization is 0.09 μB/f.u.

The following is a PBE calculation of crystalline MgTiTeO6 at its relaxed geometry, from the Alexandria database.

Lattice parameters (Å, degrees): 5.128 5.128 9.179 90.00 90.00 120.00
Element x y z (fractional)
Mg 0.000 0.000 0.000
Mg 0.000 0.000 0.500
Ti 0.333 0.667 0.250
Ti 0.667 0.333 0.750
Te 0.333 0.667 0.750
Te 0.667 0.333 0.250
O 0.005 0.358 0.634
O 0.005 0.647 0.866
O 0.353 0.358 0.866
O 0.353 0.995 0.634
O 0.358 0.005 0.134
O 0.358 0.353 0.366
O 0.642 0.647 0.634
O 0.642 0.995 0.866
O 0.647 0.005 0.366
O 0.647 0.642 0.134
O 0.995 0.353 0.134
O 0.995 0.642 0.366

The calculated total energy is -121.53 eV per cell. The value obtained for the formation energy without anion corrections is -197.1 kJ per mole of atoms. Its space group is P-31c. The density of states at the Fermi level is 0.00 states/eV/f.u. The value obtained for the total magnetization is 0.00 μB/f.u.

The following is a PBE calculation of crystalline MgTl3Te2O9 at its relaxed geometry, from the Alexandria database.

Lattice parameters (Å, degrees): 5.774 5.774 7.102 90.00 90.00 120.00
Element x y z (fractional)
Mg 0.000 0.000 0.000
Tl 0.000 0.000 0.500
Tl 0.333 0.667 0.158
Tl 0.667 0.333 0.842
Te 0.333 0.667 0.676
Te 0.667 0.333 0.324
O 0.000 0.500 0.500
O 0.172 0.343 0.821
O 0.172 0.828 0.821
O 0.343 0.172 0.179
O 0.500 0.000 0.500
O 0.500 0.500 0.500
O 0.657 0.828 0.821
O 0.828 0.172 0.179
O 0.828 0.657 0.179

The calculated total energy is -74.27 eV per cell. The value obtained for the formation energy without anion corrections is -94.4 kJ per mole of atoms. Its space group is P-3m1. The density of states at the Fermi level is 7.68 states/eV/f.u. The value obtained for the total magnetization is 0.00 μB/f.u.

The following is a PBE calculation of crystalline MgTl2Te2O6 at its relaxed geometry, from the Alexandria database.

Lattice parameters (Å, degrees): 5.674 5.674 7.678 104.82 104.82 64.68
Element x y z (fractional)
Mg 0.000 0.000 0.000
Tl 0.235 0.235 0.707
Tl 0.765 0.765 0.293
Te 0.401 0.401 0.240
Te 0.599 0.599 0.760
O 0.230 0.230 0.038
O 0.248 0.722 0.802
O 0.278 0.752 0.198
O 0.722 0.248 0.802
O 0.752 0.278 0.198
O 0.770 0.770 0.962

The calculated total energy is -55.74 eV per cell. The value obtained for the formation energy without anion corrections is -117.3 kJ per mole of atoms. Its space group is C2/m. The density of states at the Fermi level is 0.00 states/eV/f.u. The value obtained for the total magnetization is 0.00 μB/f.u.

The following is a PBE calculation of crystalline MgTlTeO4 at its relaxed geometry, from the Alexandria database.

Lattice parameters (Å, degrees): 5.728 5.843 7.465 90.00 100.65 90.00
Element x y z (fractional)
Mg 0.171 0.250 0.470
Mg 0.829 0.750 0.530
Tl 0.116 0.750 0.141
Tl 0.884 0.250 0.859
Te 0.381 0.750 0.695
Te 0.619 0.250 0.305
O 0.141 0.510 0.656
O 0.141 0.990 0.656
O 0.271 0.250 0.213
O 0.446 0.750 0.457
O 0.554 0.250 0.543
O 0.729 0.750 0.787
O 0.859 0.010 0.344
O 0.859 0.490 0.344

The calculated total energy is -71.71 eV per cell. The value obtained for the formation energy without anion corrections is -123.0 kJ per mole of atoms. Its space group is P2_1/m. The density of states at the Fermi level is 1.98 states/eV/f.u. The value obtained for the total magnetization is 0.90 μB/f.u.

> What is the formation energy without anion corrections in the twelfth record?

-123.0 kJ per mole of atoms

> The lowest formation energy without anion corrections belongs to which entry?

MgTiTeO6

> Among the records above, which one has the highest calculated total energy?

Mg3TeO